Entry 1:
# In2GaPb2 (GGA-PBE, optimized geometry)
# - Energy above the most stable polymorph in this dataset: 0.656 eV/f.u.
# - Formation energy: 0.862 eV per formula unit
# - Symmetry: I4/mmm
data_In2GaPb2
_chemical_formula_sum 'In2 Ga1 Pb2'
_space_group_name_H-M_alt 'P 1'
_space_group_IT_number 1
_space_group_name_Hall 'P 1'
_cell_length_a 4.240
_cell_length_b 4.240
_cell_length_c 8.830
_cell_angle_alpha 76.11
_cell_angle_beta 76.11
_cell_angle_gamma 90.00
loop_
_atom_site_label
_atom_site_type_symbol
_atom_site_fract_x
_atom_site_fract_y
_atom_site_fract_z
Ga1 Ga 0.000 0.000 0.000
Pb1 Pb 0.599 0.599 0.801
Pb2 Pb 0.401 0.401 0.199
In1 In 0.250 0.750 0.500
In2 In 0.750 0.250 0.500


Entry 2:
# InGaPb (GGA-PBE, optimized geometry)
# - Energy above the most stable polymorph in this dataset: 0.072 eV/f.u.
# - Formation energy: 0.155 eV per formula unit
# - Symmetry: Cm
data_InGaPb
_chemical_formula_sum 'In4 Ga4 Pb4'
_space_group_name_H-M_alt 'P 1'
_space_group_IT_number 1
_space_group_name_Hall 'P 1'
_cell_length_a 6.438
_cell_length_b 5.044
_cell_length_c 10.722
_cell_angle_alpha 90.00
_cell_angle_beta 115.36
_cell_angle_gamma 90.00
loop_
_atom_site_label
_atom_site_type_symbol
_atom_site_fract_x
_atom_site_fract_y
_atom_site_fract_z
In1 In 0.567 0.000 0.652
In2 In 0.567 0.500 0.152
In3 In 0.177 0.000 0.936
In4 In 0.177 0.500 0.436
Ga1 Ga 0.690 0.500 0.470
Ga2 Ga 0.690 0.000 0.970
Ga3 Ga 0.869 0.500 0.765
Ga4 Ga 0.869 0.000 0.265
Pb1 Pb 0.020 0.500 0.089
Pb2 Pb 0.390 0.000 0.302
Pb3 Pb 0.390 0.500 0.802
Pb4 Pb 0.020 0.000 0.589


Entry 3:
# In2GaPb (GGA-PBE, optimized geometry)
# - Energy above the most stable polymorph in this dataset: 0.216 eV/f.u.
# - Formation energy: 0.356 eV per formula unit
# - Symmetry: R3m
data_In2GaPb
_chemical_formula_sum 'In2 Ga1 Pb1'
_space_group_name_H-M_alt 'P 1'
_space_group_IT_number 1
_space_group_name_Hall 'P 1'
_cell_length_a 4.585
_cell_length_b 4.585
_cell_length_c 6.754
_cell_angle_alpha 70.16
_cell_angle_beta 70.16
_cell_angle_gamma 60.00
loop_
_atom_site_label
_atom_site_type_symbol
_atom_site_fract_x
_atom_site_fract_y
_atom_site_fract_z
Pb1 Pb 0.500 0.500 0.501
Ga1 Ga 0.668 0.668 0.995
In1 In 0.067 0.067 0.800
In2 In 0.266 0.266 0.203


Entry 4:
# In5Ga12Pb3 (GGA-PBE, optimized geometry)
# - Formation energy: 4.399 eV per formula unit
# - Symmetry: Ia-3d
data_In5Ga12Pb3
_chemical_formula_sum 'In20 Ga48 Pb12'
_space_group_name_H-M_alt 'P 1'
_space_group_IT_number 1
_space_group_name_Hall 'P 1'
_cell_length_a 14.333
_cell_length_b 14.333
_cell_length_c 14.333
_cell_angle_alpha 109.47
_cell_angle_beta 109.47
_cell_angle_gamma 109.47
loop_
_atom_site_label
_atom_site_type_symbol
_atom_site_fract_x
_atom_site_fract_y
_atom_site_fract_z
Pb1 Pb 0.375 0.625 0.250
Pb2 Pb 0.125 0.875 0.750
Pb3 Pb 0.750 0.375 0.125
Pb4 Pb 0.125 0.250 0.875
Pb5 Pb 0.875 0.750 0.125
Pb6 Pb 0.375 0.750 0.625
Pb7 Pb 0.250 0.125 0.375
Pb8 Pb 0.750 0.875 0.625
Pb9 Pb 0.250 0.625 0.875
Pb10 Pb 0.625 0.250 0.375
Pb11 Pb 0.875 0.125 0.250
Pb12 Pb 0.625 0.375 0.750
Ga1 Ga 0.075 0.166 0.437
Ga2 Ga 0.666 0.229 0.591
Ga3 Ga 0.063 0.425 0.834
Ga4 Ga 0.666 0.437 0.575
Ga5 Ga 0.925 0.834 0.563
Ga6 Ga 0.638 0.063 0.229
Ga7 Ga 0.862 0.271 0.437
Ga8 Ga 0.334 0.563 0.425
Ga9 Ga 0.925 0.091 0.862
Ga10 Ga 0.091 0.166 0.229
Ga11 Ga 0.729 0.591 0.166
Ga12 Ga 0.771 0.334 0.909
Ga13 Ga 0.229 0.666 0.091
Ga14 Ga 0.729 0.138 0.063
Ga15 Ga 0.909 0.834 0.771
Ga16 Ga 0.271 0.862 0.937
Ga17 Ga 0.834 0.925 0.063
Ga18 Ga 0.138 0.409 0.075
Ga19 Ga 0.166 0.091 0.729
Ga20 Ga 0.937 0.362 0.271
Ga21 Ga 0.229 0.563 0.638
Ga22 Ga 0.362 0.937 0.771
Ga23 Ga 0.437 0.771 0.862
Ga24 Ga 0.771 0.437 0.362
Ga25 Ga 0.425 0.362 0.591
Ga26 Ga 0.138 0.729 0.563
Ga27 Ga 0.862 0.591 0.925
Ga28 Ga 0.063 0.638 0.729
Ga29 Ga 0.638 0.575 0.909
Ga30 Ga 0.563 0.334 0.925
Ga31 Ga 0.075 0.909 0.138
Ga32 Ga 0.091 0.925 0.362
Ga33 Ga 0.591 0.729 0.666
Ga34 Ga 0.591 0.862 0.425
Ga35 Ga 0.909 0.075 0.638
Ga36 Ga 0.409 0.138 0.575
Ga37 Ga 0.834 0.909 0.271
Ga38 Ga 0.437 0.666 0.075
Ga39 Ga 0.409 0.271 0.334
Ga40 Ga 0.563 0.229 0.138
Ga41 Ga 0.362 0.425 0.091
Ga42 Ga 0.425 0.063 0.334
Ga43 Ga 0.575 0.638 0.409
Ga44 Ga 0.166 0.075 0.937
Ga45 Ga 0.334 0.771 0.409
Ga46 Ga 0.271 0.409 0.834
Ga47 Ga 0.575 0.937 0.666
Ga48 Ga 0.937 0.575 0.166
In1 In 0.000 0.500 0.000
In2 In 0.875 0.250 0.625
In3 In 0.875 0.625 0.750
In4 In 0.250 0.375 0.625
In5 In 0.750 0.125 0.875
In6 In 0.500 0.000 0.000
In7 In 0.625 0.750 0.875
In8 In 0.500 0.500 0.500
In9 In 0.750 0.625 0.375
In10 In 0.000 0.000 0.500
In11 In 0.125 0.375 0.250
In12 In 0.500 0.500 0.000
In13 In 0.125 0.750 0.375
In14 In 0.375 0.250 0.125
In15 In 0.000 0.500 0.500
In16 In 0.250 0.875 0.125
In17 In 0.000 0.000 0.000
In18 In 0.500 0.000 0.500
In19 In 0.375 0.125 0.750
In20 In 0.625 0.875 0.250


Entry 5:
# InGa4Pb (GGA-PBE, optimized geometry)
# - Energy above the most stable polymorph in this dataset: 0.000 eV/f.u.
# - Formation energy: 0.091 eV per formula unit
# - Symmetry: Imm2
data_InGa4Pb
_chemical_formula_sum 'In1 Ga4 Pb1'
_space_group_name_H-M_alt 'P 1'
_space_group_IT_number 1
_space_group_name_Hall 'P 1'
_cell_length_a 4.387
_cell_length_b 5.994
_cell_length_c 5.994
_cell_angle_alpha 78.97
_cell_angle_beta 68.53
_cell_angle_gamma 68.53
loop_
_atom_site_label
_atom_site_type_symbol
_atom_site_fract_x
_atom_site_fract_y
_atom_site_fract_z
In1 In 0.576 0.424 0.424
Ga1 Ga 0.154 0.029 0.662
Ga2 Ga 0.154 0.662 0.029
Ga3 Ga 0.847 0.474 0.832
Ga4 Ga 0.847 0.832 0.474
Pb1 Pb 0.421 0.079 0.079


Entry 6:
# InGaPb3 (GGA-PBE, optimized geometry)
# - Energy above the most stable polymorph in this dataset: 2.620 eV/f.u.
# - Formation energy: 2.871 eV per formula unit
# - Symmetry: Pm-3m
data_InGaPb3
_chemical_formula_sum 'In1 Ga1 Pb3'
_space_group_name_H-M_alt 'P 1'
_space_group_IT_number 1
_space_group_name_Hall 'P 1'
_cell_length_a 5.814
_cell_length_b 5.814
_cell_length_c 5.814
_cell_angle_alpha 90.00
_cell_angle_beta 90.00
_cell_angle_gamma 90.00
loop_
_atom_site_label
_atom_site_type_symbol
_atom_site_fract_x
_atom_site_fract_y
_atom_site_fract_z
Ga1 Ga 0.500 0.500 0.500
In1 In 0.000 0.000 0.000
Pb1 Pb 0.500 0.000 0.000
Pb2 Pb 0.000 0.000 0.500
Pb3 Pb 0.000 0.500 0.000


Entry 7:
# InGa4Pb (GGA-PBE, optimized geometry)
# - Energy above the most stable polymorph in this dataset: 0.238 eV/f.u.
# - Formation energy: 0.330 eV per formula unit
# - Symmetry: P6/mmm
data_InGa4Pb
_chemical_formula_sum 'In1 Ga4 Pb1'
_space_group_name_H-M_alt 'P 1'
_space_group_IT_number 1
_space_group_name_Hall 'P 1'
_cell_length_a 4.979
_cell_length_b 4.979
_cell_length_c 6.394
_cell_angle_alpha 90.00
_cell_angle_beta 90.00
_cell_angle_gamma 120.00
loop_
_atom_site_label
_atom_site_type_symbol
_atom_site_fract_x
_atom_site_fract_y
_atom_site_fract_z
Ga1 Ga 0.333 0.667 0.239
Ga2 Ga 0.667 0.333 0.239
Ga3 Ga 0.667 0.333 0.761
Ga4 Ga 0.333 0.667 0.761
Pb1 Pb 0.000 0.000 0.500
In1 In 0.000 0.000 0.000


Entry 8:
# In2GaPb (GGA-PBE, optimized geometry)
# - Energy above the most stable polymorph in this dataset: 0.114 eV/f.u.
# - Formation energy: 0.254 eV per formula unit
# - Symmetry: Fm-3m
data_In2GaPb
_chemical_formula_sum 'In2 Ga1 Pb1'
_space_group_name_H-M_alt 'P 1'
_space_group_IT_number 1
_space_group_name_Hall 'P 1'
_cell_length_a 5.357
_cell_length_b 5.357
_cell_length_c 5.357
_cell_angle_alpha 60.00
_cell_angle_beta 60.00
_cell_angle_gamma 60.00
loop_
_atom_site_label
_atom_site_type_symbol
_atom_site_fract_x
_atom_site_fract_y
_atom_site_fract_z
Ga1 Ga 0.000 0.000 0.000
Pb1 Pb 0.500 0.500 0.500
In1 In 0.250 0.250 0.250
In2 In 0.750 0.750 0.750


Entry 9:
# In2GaPb (GGA-PBE, optimized geometry)
# - Energy above the most stable polymorph in this dataset: 0.265 eV/f.u.
# - Formation energy: 0.405 eV per formula unit
# - Symmetry: I-42d
data_In2GaPb
_chemical_formula_sum 'In4 Ga2 Pb2'
_space_group_name_H-M_alt 'P 1'
_space_group_IT_number 1
_space_group_name_Hall 'P 1'
_cell_length_a 4.457
_cell_length_b 4.457
_cell_length_c 11.497
_cell_angle_alpha 78.82
_cell_angle_beta 78.82
_cell_angle_gamma 90.00
loop_
_atom_site_label
_atom_site_type_symbol
_atom_site_fract_x
_atom_site_fract_y
_atom_site_fract_z
In1 In 0.612 0.125 0.250
In2 In 0.138 0.625 0.250
In3 In 0.375 0.388 0.750
In4 In 0.875 0.862 0.750
Pb1 Pb 0.000 0.000 0.000
Pb2 Pb 0.750 0.250 0.500
Ga1 Ga 0.250 0.750 0.500
Ga2 Ga 0.500 0.500 0.000


Entry 10:
# In4Ga4Pb (GGA-PBE, optimized geometry)
# - Energy above the most stable polymorph in this dataset: 0.000 eV/f.u.
# - Formation energy: 0.414 eV per formula unit
# - Symmetry: I4/mmm
data_In4Ga4Pb
_chemical_formula_sum 'In4 Ga4 Pb1'
_space_group_name_H-M_alt 'P 1'
_space_group_IT_number 1
_space_group_name_Hall 'P 1'
_cell_length_a 5.052
_cell_length_b 7.040
_cell_length_c 7.040
_cell_angle_alpha 82.60
_cell_angle_beta 68.97
_cell_angle_gamma 68.97
loop_
_atom_site_label
_atom_site_type_symbol
_atom_site_fract_x
_atom_site_fract_y
_atom_site_fract_z
Ga1 Ga 0.350 0.651 0.650
Ga2 Ga 0.650 0.349 0.350
Ga3 Ga 0.000 0.350 0.651
Ga4 Ga 0.000 0.650 0.349
In1 In 0.674 0.000 0.653
In2 In 0.326 0.000 0.347
In3 In 0.673 0.653 0.000
In4 In 0.327 0.347 0.000
Pb1 Pb 0.000 0.000 0.000